A relaxed Sr2Tl4S5 crystal, computed with PBE.

Structure (POSCAR):
```
Sr2Tl4S5
1.0
4.5633 0.0000 0.0000
2.2816 3.9519 0.0000
2.2816 1.3173 20.5106
Tl Sr S
4 2 5
direct
0.3123 0.3123 0.0631 Tl
0.5786 0.5786 0.2642 Tl
0.4214 0.4214 0.7358 Tl
0.6877 0.6877 0.9369 Tl
0.8603 0.8603 0.4191 Sr
0.1397 0.1397 0.5809 Sr
0.6394 0.6394 0.0819 S
0.7802 0.7802 0.6593 S
0.2198 0.2198 0.3407 S
0.3606 0.3606 0.9181 S
0.5000 0.5000 0.5000 S
```

Summary:
Formation energy without anion corrections ... -893.7 kJ/mol of formula units
Symmetry ... R-3m
Total magnetic moment ... 0.00 μB per cell
VASP energy ... -3.88 eV per atom